1.
! YTeRu2 PBE optimized geometry; values from VASP
! VASP energy: -6.78 eV per atom
! N(E_F): 1.35 states/eV/atom
! magnetic moment: 0.000 μB/atom
&SYSTEM
  ibrav = 0, nat = 8, ntyp = 3
/
ATOMIC_SPECIES
Y 88.91 Y.upf
Ru 101.07 Ru.upf
Te 127.60 Te.upf
CELL_PARAMETERS angstrom
-0.314 5.976 -4.392
-6.850 1.451 2.464
-2.403 5.437 1.297
ATOMIC_POSITIONS angstrom
Y -3.582 3.713 -0.964
Y -6.417 5.301 1.398
Ru -1.668 5.561 -2.323
Ru -4.906 2.728 1.525
Ru -4.161 6.794 0.132
Ru -8.398 10.646 -0.597
Te 0.000 0.000 0.000
Te -3.149 7.563 -2.030

---

2.
! TcAu2 PBE optimized geometry; values from VASP
! DFT formation energy: 0.274 eV per atom
! VASP energy: -5.37 eV per atom
! N(E_F): 0.68 states/eV/atom
! energy above the most stable polymorph in this dataset: 0.0036 eV/atom
! magnetic moment: 0.000 μB/atom
&SYSTEM
  ibrav = 0, nat = 6, ntyp = 2
/
ATOMIC_SPECIES
Tc 98.00 Tc.upf
Au 196.97 Au.upf
CELL_PARAMETERS angstrom
1.402 5.384 0.035
-1.402 5.384 0.035
0.000 2.038 6.729
ATOMIC_POSITIONS angstrom
Tc 0.000 8.387 2.612
Tc 0.000 4.419 4.188
Au 0.000 1.569 4.652
Au 0.000 8.893 6.492
Au 0.000 3.914 0.307
Au 0.000 11.237 2.148

---

3.
! La5Bi5O2 PBE optimized geometry; values from VASP
! VASP energy: -6.00 eV per atom
! N(E_F): 0.41 states/eV/atom
! magnetic moment: 0.000 μB/atom
&SYSTEM
  ibrav = 0, nat = 12, ntyp = 3
/
ATOMIC_SPECIES
La 138.91 La.upf
Bi 208.98 Bi.upf
O 16.00 O.upf
CELL_PARAMETERS angstrom
-3.362 1.796 1.869
0.388 -7.292 2.886
6.876 5.315 7.263
ATOMIC_POSITIONS angstrom
La 2.073 0.748 3.011
La 3.419 3.317 7.786
La 0.483 -3.497 4.232
La 1.829 -0.929 9.007
La 0.000 0.000 0.000
Bi 1.757 3.556 4.566
Bi -1.332 -0.595 2.999
Bi 0.358 -0.267 5.724
Bi 3.544 0.087 6.294
Bi 5.234 0.415 9.019
O 5.427 3.546 6.355
O -1.524 -3.727 5.663

---

4.
! K2GeO PBE optimized geometry; values from VASP
! VASP energy: -2.77 eV per atom
! N(E_F): 1.18 states/eV/atom
! energy above the most stable polymorph in this dataset: 0.6324 eV/atom
! magnetic moment: 0.500 μB/atom
&SYSTEM
  ibrav = 0, nat = 4, ntyp = 3
/
ATOMIC_SPECIES
Ge 72.64 Ge.upf
K 39.10 K.upf
O 16.00 O.upf
CELL_PARAMETERS angstrom
2.097 -0.289 4.888
0.416 4.393 2.984
-3.116 0.620 4.275
ATOMIC_POSITIONS angstrom
Ge -0.302 2.362 6.074
K -0.151 1.181 3.037
K -0.453 3.542 9.110
O 0.000 0.000 0.000

---

5.
! LaPuTlPb PBE optimized geometry; values from VASP
! DFT formation energy: -0.284 eV per atom
! VASP energy: -6.62 eV per atom
! N(E_F): 3.19 states/eV/atom
! energy above the most stable polymorph in this dataset: 0.0000 eV/atom
! magnetic moment: 1.554 μB/atom
&SYSTEM
  ibrav = 0, nat = 4, ntyp = 4
/
ATOMIC_SPECIES
La 138.91 La.upf
Pu 244.00 Pu.upf
Tl 204.38 Tl.upf
Pb 207.20 Pb.upf
CELL_PARAMETERS angstrom
-2.768 3.697 -0.486
-2.641 -2.443 -3.544
-3.088 -1.842 3.571
ATOMIC_POSITIONS angstrom
La -2.704 0.627 -2.015
Pu -2.928 0.928 1.542
Tl 0.000 0.000 0.000
Pb -2.864 -2.143 0.014

---

6.
! Np2VP4Ir3 PBE optimized geometry; values from VASP
! DFT formation energy: -0.699 eV per atom
! VASP energy: -9.02 eV per atom
! N(E_F): 2.04 states/eV/atom
! magnetic moment: 0.864 μB/atom
&SYSTEM
  ibrav = 0, nat = 10, ntyp = 4
/
ATOMIC_SPECIES
Np 237.00 Np.upf
V 50.94 V.upf
P 30.97 P.upf
Ir 192.22 Ir.upf
CELL_PARAMETERS angstrom
4.172 0.000 0.000
0.000 4.172 0.000
0.000 0.000 9.448
ATOMIC_POSITIONS angstrom
Np 2.086 0.000 2.280
Np 0.000 2.086 7.168
V 2.086 2.086 4.724
P 2.086 2.086 0.000
P 0.000 0.000 0.000
P 2.086 0.000 5.992
P 0.000 2.086 3.456
Ir 0.000 0.000 4.724
Ir 2.086 0.000 8.377
Ir 0.000 2.086 1.072

---

7.
! TcTeSe2 PBE optimized geometry; values from VASP
! VASP energy: -5.19 eV per atom
! N(E_F): 0.81 states/eV/atom
! magnetic moment: 0.000 μB/atom
&SYSTEM
  ibrav = 0, nat = 4, ntyp = 3
/
ATOMIC_SPECIES
Se 78.96 Se.upf
Tc 98.00 Tc.upf
Te 127.60 Te.upf
CELL_PARAMETERS angstrom
-0.825 -3.098 -0.766
2.381 -1.772 4.601
-2.812 -0.408 4.680
ATOMIC_POSITIONS angstrom
Se -0.022 -0.110 0.470
Se -0.193 -0.980 4.170
Tc -0.520 -2.094 1.937
Te -0.736 -3.184 6.577

---

8.
! ReC PBE optimized geometry; values from VASP
! DFT formation energy: 0.779 eV per atom
! VASP energy: -10.06 eV per atom
! N(E_F): 0.86 states/eV/atom
! energy above the most stable polymorph in this dataset: 0.5385 eV/atom
! magnetic moment: 0.000 μB/atom
&SYSTEM
  ibrav = 0, nat = 8, ntyp = 2
/
ATOMIC_SPECIES
Re 186.21 Re.upf
C 12.01 C.upf
CELL_PARAMETERS angstrom
-4.497 -3.086 1.084
3.045 -4.623 -0.530
0.733 0.101 3.326
ATOMIC_POSITIONS angstrom
Re -1.200 -6.371 0.457
Re 0.949 -4.071 1.660
Re -1.669 -3.537 2.220
Re -0.252 -1.338 0.096
C -3.071 -3.377 0.779
C -0.085 -2.346 1.835
C -0.635 -5.262 2.045
C 1.619 -4.332 -0.225